No. 1
The following is a PBE calculation of a relaxed structure of LiHoScGe, from Alexandria via LeMat-Bulk.

Properties
size of the total moment: 0.00 μB per formula unit
VASP energy: -0.1756 Ha/atom

a b c (Å): 6.860 6.860 6.860
angles (deg): 90.00 90.00 90.00
Space group F-43m (No. 216)
Asymmetric unit:
Li1 0.000 0.000 0.000 x4
Ho1 0.250 0.250 0.250 x4
Sc1 0.250 0.250 0.750 x4
Ge1 0.000 0.000 0.500 x4



No. 2
The following is a PBE calculation of a relaxed structure of Nd2Sm2Tm5, from Alexandria via LeMat-Bulk.

Properties
size of the total moment: 0.00 μB per formula unit
offset from the most stable computed form: 0.0 kJ/mol of atoms

a b c (Å): 14.943 11.781 6.728
angles (deg): 90.00 90.00 90.00
Space group Ima2 (No. 46)
Asymmetric unit:
Nd1 0.127 0.006 0.000 x8
Sm1 0.000 0.000 0.447 x4
Sm2 0.250 0.512 0.051 x4
Tm1 0.054 0.240 0.649 x8
Tm2 0.142 0.736 0.834 x8
Tm3 0.250 0.249 0.850 x4



No. 3
The following is a PBE calculation of a relaxed structure of TePtO2, from Alexandria via LeMat-Bulk.

Properties
size of the total moment: 0.00 μB per formula unit
E_form (uncorrected): -85 meV/atom

a b c (Å): 3.0156 3.0156 21.5993
angles (deg): 90.00 90.00 120.00
Space group R-3m (No. 166, hexagonal axes)
Asymmetric unit:
Te1 0.0000 0.0000 0.0000 x3
Pt1 0.0000 0.0000 0.5000 x3
O1 0.0000 0.0000 0.4085 x6



No. 4
The following is a PBE calculation of a relaxed structure of NbTc2GeAs, from Alexandria via LeMat-Bulk.

Properties
size of the total moment: 3.19 μB per formula unit
VASP energy: -0.2418 Ha/atom

a b c (Å): 4.820 4.820 4.914
angles (deg): 90.00 90.00 90.00
Space group P4/mmm (No. 123)
Asymmetric unit:
Nb1 0.000 0.000 0.000 x1
Tc1 0.000 0.500 0.000 x2
Ge1 0.500 0.500 0.500 x1
As1 0.000 0.000 0.500 x1



No. 5
The following is a PBE calculation of a relaxed structure of Tl3SnP, from Alexandria via LeMat-Bulk.

Properties
size of the total moment: 0.85 μB per formula unit
offset from the most stable computed form: 33.8 kJ/mol of atoms

a b c (Å): 5.757 5.757 5.757
angles (deg): 90.00 90.00 90.00
Space group Pm-3m (No. 221)
Asymmetric unit:
Tl1 0.000 0.000 0.500 x3
Sn1 0.000 0.000 0.000 x1
P1 0.500 0.500 0.500 x1



No. 6
The following is a PBE calculation of a relaxed structure of LiTbTmGa, from Alexandria via LeMat-Bulk.

Properties
size of the total moment: 0.00 μB per formula unit
VASP energy: -0.1405 Ha/atom

a b c (Å): 7.170 7.170 7.170
angles (deg): 90.00 90.00 90.00
Space group F-43m (No. 216)
Asymmetric unit:
Li1 0.000 0.000 0.000 x4
Tb1 0.250 0.250 0.250 x4
Tm1 0.250 0.250 0.750 x4
Ga1 0.000 0.000 0.500 x4